Compound: FeCuTcPt
Source: Alexandria
Functional: PBE
Structure: optimized geometry

Calculated values
The formation energy is 0.057 eV per atom. The space group is No. 216. The density of states at the Fermi level is 2.28 states/eV per cell.

Geometry as CIF:
```
data_FeCuTcPt
_chemical_formula_sum 'Fe1 Cu1 Tc1 Pt1'
_cell_length_a 4.243
_cell_length_b 4.243
_cell_length_c 4.243
_cell_angle_alpha 60.00
_cell_angle_beta 60.00
_cell_angle_gamma 60.00
_symmetry_space_group_name_H-M 'P 1'
_symmetry_Int_Tables_number 1
_symmetry_space_group_name_Hall 'P 1'
loop_
_atom_site_label
_atom_site_type_symbol
_atom_site_fract_x
_atom_site_fract_y
_atom_site_fract_z
_atom_site_occupancy
Cu1 Cu 0.500 0.500 0.500 1
Pt1 Pt 0.250 0.250 0.250 1
Tc1 Tc 0.750 0.750 0.750 1
Fe1 Fe 0.000 0.000 0.000 1
```

Compound: FeCu2PtW
Source: Alexandria
Functional: PBE
Structure: optimized geometry

Calculated values
The formation energy is 1.677 eV per atom. The space group is No. 123. The density of states at the Fermi level is 4.04 states/eV per cell.

Geometry as CIF:
```
data_FeCu2PtW
_chemical_formula_sum 'Fe1 Cu2 Pt1 W1'
_cell_length_a 4.617
_cell_length_b 4.334
_cell_length_c 4.617
_cell_angle_alpha 90.00
_cell_angle_beta 90.00
_cell_angle_gamma 90.00
_symmetry_space_group_name_H-M 'P 1'
_symmetry_Int_Tables_number 1
_symmetry_space_group_name_Hall 'P 1'
loop_
_atom_site_label
_atom_site_type_symbol
_atom_site_fract_x
_atom_site_fract_y
_atom_site_fract_z
_atom_site_occupancy
Pt1 Pt 0.500 0.500 0.500 1
Cu1 Cu 0.000 0.000 0.500 1
W1 W 0.000 0.000 0.000 1
Cu2 Cu 0.500 0.000 0.000 1
Fe1 Fe 0.000 0.500 0.000 1
```

Compound: YFe2CuPt
Source: Alexandria
Functional: PBE
Structure: optimized geometry

Calculated values
The formation energy is 0.628 eV per atom. The space group is No. 123. The density of states at the Fermi level is 6.27 states/eV per cell.

Geometry as CIF:
```
data_YFe2CuPt
_chemical_formula_sum 'Y1 Fe2 Cu1 Pt1'
_cell_length_a 4.360
_cell_length_b 5.136
_cell_length_c 4.360
_cell_angle_alpha 90.00
_cell_angle_beta 90.00
_cell_angle_gamma 90.00
_symmetry_space_group_name_H-M 'P 1'
_symmetry_Int_Tables_number 1
_symmetry_space_group_name_Hall 'P 1'
loop_
_atom_site_label
_atom_site_type_symbol
_atom_site_fract_x
_atom_site_fract_y
_atom_site_fract_z
_atom_site_occupancy
Pt1 Pt 0.500 0.500 0.500 1
Y1 Y 0.000 0.500 0.000 1
Fe1 Fe 0.000 0.000 0.500 1
Cu1 Cu 0.000 0.000 0.000 1
Fe2 Fe 0.500 0.000 0.000 1
```

Compound: ZnFeCuPt
Source: Alexandria
Functional: PBE
Structure: optimized geometry

Calculated values
The formation energy is -0.162 eV per atom. The space group is No. 216. The density of states at the Fermi level is 1.91 states/eV per cell.

Geometry as CIF:
```
data_ZnFeCuPt
_chemical_formula_sum 'Zn1 Fe1 Cu1 Pt1'
_cell_length_a 4.256
_cell_length_b 4.256
_cell_length_c 4.256
_cell_angle_alpha 60.00
_cell_angle_beta 60.00
_cell_angle_gamma 60.00
_symmetry_space_group_name_H-M 'P 1'
_symmetry_Int_Tables_number 1
_symmetry_space_group_name_Hall 'P 1'
loop_
_atom_site_label
_atom_site_type_symbol
_atom_site_fract_x
_atom_site_fract_y
_atom_site_fract_z
_atom_site_occupancy
Pt1 Pt 0.500 0.500 0.500 1
Zn1 Zn 0.250 0.250 0.250 1
Fe1 Fe 0.750 0.750 0.750 1
Cu1 Cu 0.000 0.000 0.000 1
```

Compound: PuFeCu
Source: Alexandria
Functional: PBE
Structure: optimized geometry

Calculated values
The formation energy is -0.027 eV per atom. The space group is No. 74. The density of states at the Fermi level is 11.53 states/eV per cell.

Geometry as CIF:
```
data_PuFeCu
_chemical_formula_sum 'Pu2 Fe2 Cu2'
_cell_length_a 5.205
_cell_length_b 5.205
_cell_length_c 5.205
_cell_angle_alpha 85.80
_cell_angle_beta 125.39
_cell_angle_gamma 119.61
_symmetry_space_group_name_H-M 'P 1'
_symmetry_Int_Tables_number 1
_symmetry_space_group_name_Hall 'P 1'
loop_
_atom_site_label
_atom_site_type_symbol
_atom_site_fract_x
_atom_site_fract_y
_atom_site_fract_z
_atom_site_occupancy
Fe1 Fe 0.500 0.000 0.500 1
Pu1 Pu 0.750 0.873 0.123 1
Cu1 Cu 0.000 0.500 0.000 1
Pu2 Pu 0.250 0.127 0.877 1
Fe2 Fe 0.000 0.500 0.500 1
Cu2 Cu 0.500 0.500 0.500 1
```

Compound: PuFeCu
Source: Alexandria
Functional: PBE
Structure: optimized geometry

Calculated values
The formation energy is 0.138 eV per atom. The space group is No. 187. The density of states at the Fermi level is 5.36 states/eV per cell.

Geometry as CIF:
```
data_PuFeCu
_chemical_formula_sum 'Pu1 Fe1 Cu1'
_cell_length_a 3.307
_cell_length_b 4.276
_cell_length_c 4.276
_cell_angle_alpha 120.00
_cell_angle_beta 90.00
_cell_angle_gamma 90.00
_symmetry_space_group_name_H-M 'P 1'
_symmetry_Int_Tables_number 1
_symmetry_space_group_name_Hall 'P 1'
loop_
_atom_site_label
_atom_site_type_symbol
_atom_site_fract_x
_atom_site_fract_y
_atom_site_fract_z
_atom_site_occupancy
Fe1 Fe 0.167 0.000 0.000 1
Cu1 Cu 0.166 0.667 0.333 1
Pu1 Pu 0.667 0.333 0.667 1
```

Compound: PuFe2Cu
Source: Alexandria
Functional: PBE
Structure: optimized geometry

Calculated values
The formation energy is 0.083 eV per atom. The space group is No. 166. The density of states at the Fermi level is 4.06 states/eV per cell.

Geometry as CIF:
```
data_PuFe2Cu
_chemical_formula_sum 'Pu1 Fe2 Cu1'
_cell_length_a 4.384
_cell_length_b 4.384
_cell_length_c 4.340
_cell_angle_alpha 59.67
_cell_angle_beta 59.67
_cell_angle_gamma 60.00
_symmetry_space_group_name_H-M 'P 1'
_symmetry_Int_Tables_number 1
_symmetry_space_group_name_Hall 'P 1'
loop_
_atom_site_label
_atom_site_type_symbol
_atom_site_fract_x
_atom_site_fract_y
_atom_site_fract_z
_atom_site_occupancy
Fe1 Fe 0.783 0.783 0.650 1
Fe2 Fe 0.217 0.217 0.350 1
Pu1 Pu 0.000 0.000 0.000 1
Cu1 Cu 0.500 0.500 0.500 1
```

Compound: PuFe2Cu
Source: Alexandria
Functional: PBE
Structure: optimized geometry

Calculated values
The formation energy is 0.066 eV per atom. The space group is No. 123. The density of states at the Fermi level is 4.98 states/eV per cell.

Geometry as CIF:
```
data_PuFe2Cu
_chemical_formula_sum 'Pu1 Fe2 Cu1'
_cell_length_a 3.535
_cell_length_b 4.022
_cell_length_c 4.022
_cell_angle_alpha 90.00
_cell_angle_beta 90.00
_cell_angle_gamma 90.00
_symmetry_space_group_name_H-M 'P 1'
_symmetry_Int_Tables_number 1
_symmetry_space_group_name_Hall 'P 1'
loop_
_atom_site_label
_atom_site_type_symbol
_atom_site_fract_x
_atom_site_fract_y
_atom_site_fract_z
_atom_site_occupancy
Pu1 Pu 0.500 0.000 0.000 1
Fe1 Fe 0.000 0.500 0.000 1
Fe2 Fe 0.000 0.000 0.500 1
Cu1 Cu 0.500 0.500 0.500 1
```

Compound: PuFeCu4
Source: Alexandria
Functional: PBE
Structure: optimized geometry

Calculated values
The formation energy is 0.200 eV per atom. The space group is No. 216. The density of states at the Fermi level is 19.20 states/eV per cell.

Geometry as CIF:
```
data_PuFeCu4
_chemical_formula_sum 'Pu1 Fe1 Cu4'
_cell_length_a 5.004
_cell_length_b 5.004
_cell_length_c 5.004
_cell_angle_alpha 60.00
_cell_angle_beta 60.00
_cell_angle_gamma 60.00
_symmetry_space_group_name_H-M 'P 1'
_symmetry_Int_Tables_number 1
_symmetry_space_group_name_Hall 'P 1'
loop_
_atom_site_label
_atom_site_type_symbol
_atom_site_fract_x
_atom_site_fract_y
_atom_site_fract_z
_atom_site_occupancy
Cu1 Cu 0.626 0.626 0.626 1
Cu2 Cu 0.626 0.121 0.626 1
Cu3 Cu 0.626 0.626 0.121 1
Fe1 Fe 0.000 0.000 0.000 1
Pu1 Pu 0.250 0.250 0.250 1
Cu4 Cu 0.121 0.626 0.626 1
```

Compound: PuFe4Cu
Source: Alexandria
Functional: PBE
Structure: optimized geometry

Calculated values
The formation energy is 0.303 eV per atom. The space group is No. 216. The density of states at the Fermi level is 23.31 states/eV per cell.

Geometry as CIF:
```
data_PuFe4Cu
_chemical_formula_sum 'Pu1 Fe4 Cu1'
_cell_length_a 4.911
_cell_length_b 4.911
_cell_length_c 4.911
_cell_angle_alpha 60.00
_cell_angle_beta 60.00
_cell_angle_gamma 60.00
_symmetry_space_group_name_H-M 'P 1'
_symmetry_Int_Tables_number 1
_symmetry_space_group_name_Hall 'P 1'
loop_
_atom_site_label
_atom_site_type_symbol
_atom_site_fract_x
_atom_site_fract_y
_atom_site_fract_z
_atom_site_occupancy
Fe1 Fe 0.123 0.626 0.626 1
Fe2 Fe 0.626 0.123 0.626 1
Fe3 Fe 0.626 0.626 0.626 1
Cu1 Cu 0.000 0.000 0.000 1
Fe4 Fe 0.626 0.626 0.123 1
Pu1 Pu 0.250 0.250 0.250 1
```

Compound: PuFeCuRu
Source: Alexandria
Functional: PBE
Structure: optimized geometry

Calculated values
The formation energy is 0.048 eV per atom. The space group is No. 216. The density of states at the Fermi level is 4.40 states/eV per cell.

Geometry as CIF:
```
data_PuFeCuRu
_chemical_formula_sum 'Pu1 Fe1 Cu1 Ru1'
_cell_length_a 4.422
_cell_length_b 4.422
_cell_length_c 4.422
_cell_angle_alpha 60.00
_cell_angle_beta 60.00
_cell_angle_gamma 60.00
_symmetry_space_group_name_H-M 'P 1'
_symmetry_Int_Tables_number 1
_symmetry_space_group_name_Hall 'P 1'
loop_
_atom_site_label
_atom_site_type_symbol
_atom_site_fract_x
_atom_site_fract_y
_atom_site_fract_z
_atom_site_occupancy
Fe1 Fe 0.250 0.250 0.250 1
Ru1 Ru 0.750 0.750 0.750 1
Cu1 Cu 0.500 0.500 0.500 1
Pu1 Pu 0.000 0.000 0.000 1
```

Compound: PuThFeCu
Source: Alexandria
Functional: PBE
Structure: optimized geometry

Calculated values
The formation energy is 0.085 eV per atom. The space group is No. 216. The density of states at the Fermi level is 10.76 states/eV per cell.

Geometry as CIF:
```
data_PuThFeCu
_chemical_formula_sum 'Pu1 Th1 Fe1 Cu1'
_cell_length_a 4.893
_cell_length_b 4.893
_cell_length_c 4.893
_cell_angle_alpha 60.00
_cell_angle_beta 60.00
_cell_angle_gamma 60.00
_symmetry_space_group_name_H-M 'P 1'
_symmetry_Int_Tables_number 1
_symmetry_space_group_name_Hall 'P 1'
loop_
_atom_site_label
_atom_site_type_symbol
_atom_site_fract_x
_atom_site_fract_y
_atom_site_fract_z
_atom_site_occupancy
Th1 Th 0.250 0.250 0.250 1
Pu1 Pu 0.750 0.750 0.750 1
Fe1 Fe 0.000 0.000 0.000 1
Cu1 Cu 0.500 0.500 0.500 1
```